## BaNb2O4 (PBE)

Data for a relaxed BaNb2O4 crystal.

abc: 6.7292 6.7292 6.7292
angles: 60.00 60.00 60.00
Sites, in units of the cell vectors:
Ba1 0.1250 0.1250 0.1250
Ba2 0.8750 0.8750 0.8750
Nb1 0.0000 0.5000 0.5000
Nb2 0.5000 0.0000 0.5000
Nb3 0.5000 0.5000 0.0000
Nb4 0.5000 0.5000 0.5000
O1 0.2750 0.2750 0.2750
O2 0.2750 0.2750 0.6750
O3 0.2750 0.6750 0.2750
O4 0.3250 0.7250 0.7250
O5 0.6750 0.2750 0.2750
O6 0.7250 0.3250 0.7250
O7 0.7250 0.7250 0.3250
O8 0.7250 0.7250 0.7250

magnetization: 4.4 μB per cell
calculated total energy: -112.47 eV per cell
space-group type: No. 227
calculated density: 5.97 g/cm³